Entry 1:
A relaxed structure of Ga2Ni2Os. Source: the Alexandria database, functional GGA-PBE.

a = 3.387 Å, b = 3.387 Å, c = 11.822 Å
α = 90.00°, β = 90.00°, γ = 90.00°
Fractional positions:
Ga: 0.000 0.000 0.107
Ga: 0.000 0.000 0.893
Ga: 0.500 0.500 0.393
Ga: 0.500 0.500 0.607
Ni: 0.000 0.500 0.250
Ni: 0.000 0.500 0.750
Ni: 0.500 0.000 0.250
Ni: 0.500 0.000 0.750
Os: 0.000 0.000 0.500
Os: 0.500 0.500 0.000

Values from the calculation:
Space-group type = I4/mmm (139)
Size of the total moment = 0.00 μB per formula unit
DOS at the Fermi energy = 4.3 states/eV/cell
Polymorph energy (0 for the lowest one) = 214.6 meV/atom
ρ = 10.948 g/cm3
Formation energy = 152 meV per atom

Entry 2:
A relaxed structure of Ga2NiOs2. Source: the Alexandria database, functional GGA-PBE.

a = 3.395 Å, b = 3.395 Å, c = 12.963 Å
α = 90.00°, β = 90.00°, γ = 90.00°
Fractional positions:
Ga: 0.000 0.500 0.250
Ga: 0.000 0.500 0.750
Ga: 0.500 0.000 0.250
Ga: 0.500 0.000 0.750
Ni: 0.000 0.000 0.000
Ni: 0.500 0.500 0.500
Os: 0.000 0.000 0.403
Os: 0.000 0.000 0.597
Os: 0.500 0.500 0.097
Os: 0.500 0.500 0.903

Values from the calculation:
Space-group type = I4/mmm (139)
Size of the total moment = 0.00 μB per formula unit
DOS at the Fermi energy = 12.2 states/eV/cell
Polymorph energy (0 for the lowest one) = 314.4 meV/atom
ρ = 12.861 g/cm3
Formation energy = 557 meV per atom

Entry 3:
A relaxed structure of GaNi2Os2. Source: the Alexandria database, functional GGA-PBE.

a = 3.519 Å, b = 3.519 Å, c = 12.165 Å
α = 90.00°, β = 90.00°, γ = 90.00°
Fractional positions:
Ga: 0.000 0.000 0.000
Ga: 0.500 0.500 0.500
Ni: 0.000 0.000 0.403
Ni: 0.000 0.000 0.597
Ni: 0.500 0.500 0.097
Ni: 0.500 0.500 0.903
Os: 0.000 0.500 0.250
Os: 0.000 0.500 0.750
Os: 0.500 0.000 0.250
Os: 0.500 0.000 0.750

Values from the calculation:
Space-group type = I4/mmm (139)
Size of the total moment = 0.00 μB per formula unit
DOS at the Fermi energy = 11.5 states/eV/cell
Polymorph energy (0 for the lowest one) = 96.8 meV/atom
ρ = 12.511 g/cm3
Formation energy = 522 meV per atom

Entry 4:
A relaxed structure of Ga2NiOs2. Source: the Alexandria database, functional GGA-PBE.

a = 6.325 Å, b = 6.325 Å, c = 3.803 Å
α = 90.00°, β = 90.00°, γ = 90.00°
Fractional positions:
Ga: 0.169 0.331 0.000
Ga: 0.331 0.831 0.000
Ga: 0.669 0.169 0.000
Ga: 0.831 0.669 0.000
Ni: 0.000 0.000 0.500
Ni: 0.500 0.500 0.500
Os: 0.138 0.638 0.500
Os: 0.362 0.138 0.500
Os: 0.638 0.862 0.500
Os: 0.862 0.362 0.500

Values from the calculation:
Space-group type = P4/mbm (127)
Size of the total moment = 0.65 μB per formula unit
DOS at the Fermi energy = 11.4 states/eV/cell
Polymorph energy (0 for the lowest one) = 0.0 meV/atom
ρ = 12.627 g/cm3
Formation energy = 243 meV per atom

> The highest ρ belongs to which entry?

number 2